DFT (PBE-GGA) results for RbMnHg2Cl8 after structural relaxation.

Values from the calculation:
- Total moment: 4.00 μB/f.u.
- Energy relative to the elements, uncorrected: -0.945 eV/atom

Cell: 6.4913 7.2281 9.1949 Å, 67.15 78.99 84.39°
Sites, in units of the cell vectors:
Rb  0.0000  0.0000  0.0000
Mn  0.0000  0.5000  0.5000
Hg  0.4952  0.5084  0.7882
Hg  0.5048  0.4916  0.2118
Cl  0.1184  0.4783  0.7692
Cl  0.2096  0.7611  0.3514
Cl  0.2674  0.2723  0.4620
Cl  0.4720  0.7724  0.9411
Cl  0.5280  0.2276  0.0589
Cl  0.7326  0.7277  0.5380
Cl  0.7904  0.2389  0.6486
Cl  0.8816  0.5217  0.2308